The following is a PBE+U calculation of LiV2CF after structural relaxation, from Alexandria via LeMat-Bulk.

Structure (POSCAR):
```
LiV2CF
1.0
4.188 0.000 0.000
0.000 4.188 0.000
0.000 0.000 4.296
Li V C F
1 2 1 1
Direct
0.000 0.000 0.000
0.000 0.500 0.500
0.500 0.000 0.500
0.500 0.500 0.000
0.500 0.500 0.500
```

Values from the calculation:
Electronic total energy ... -22.85 eV/cell
Fermi-level density of states ... 1.9 states/eV/f.u.